This record from the Alexandria database describes an optimized crystal structure of LiAlNiO3. The functional is PBE+U.

Computed properties:
Crystal system ... triclinic
Space-group type ... No. 2
Raw total energy ... -5.9544 eV/atom
Total magnetization ... 2.0 μB per formula unit

```
data_LiAlNiO3
_chemical_formula_sum 'Li2 Al2 Ni2 O6'
_symmetry_space_group_name_H-M 'P 1'
_symmetry_Int_Tables_number 1
_cell_length_a 5.223
_cell_length_b 5.328
_cell_length_c 5.424
_cell_angle_alpha 67.47
_cell_angle_beta 68.41
_cell_angle_gamma 65.62
loop_
_symmetry_equiv_pos_as_xyz
'x,y,z'
loop_
_atom_site_label
_atom_site_fract_x
_atom_site_fract_y
_atom_site_fract_z
_atom_site_occupancy
O1 0.058 0.425 0.284 1
O2 0.578 0.274 0.424 1
O3 0.422 0.726 0.576 1
O4 0.942 0.575 0.716 1
O5 0.751 0.119 0.893 1
O6 0.249 0.881 0.107 1
Ni1 0.916 0.250 0.089 1
Ni2 0.084 0.750 0.911 1
Li1 0.433 0.072 0.247 1
Li2 0.567 0.928 0.753 1
Al1 0.747 0.415 0.587 1
Al2 0.253 0.585 0.413 1
```